## PmTmThSn (PBE-GGA)

Data for an optimized crystal structure of PmTmThSn.

Summary:
The energy relative to the elements is -162 meV/atom.

Lattice parameters (Å, degrees): 7.795 7.795 7.795 90.00 90.00 90.00
Space group F-43m (No. 216)
One atom of each set of equivalent atoms:
Pm (0.000, 0.000, 0.000) x4
Tm (0.250, 0.250, 0.750) x4
Th (0.000, 0.000, 0.500) x4
Sn (0.250, 0.250, 0.250) x4

## PaVGaOs (PBE-GGA)

Data for an optimized crystal structure of PaVGaOs.

Summary:
The energy relative to the elements is -133 meV/atom.

Lattice parameters (Å, degrees): 6.554 6.554 6.554 90.00 90.00 90.00
Space group F-43m (No. 216)
One atom of each set of equivalent atoms:
Pa (0.000, 0.000, 0.000) x4
V (0.250, 0.250, 0.250) x4
Ga (0.000, 0.000, 0.500) x4
Os (0.250, 0.250, 0.750) x4

## CdCo2Rh2 (PBE-GGA)

Data for an optimized crystal structure of CdCo2Rh2.

Summary:
The energy relative to the elements is 165 meV/atom. The value obtained for the excess energy over the best structure of this formula in the dataset is 0.205 eV/f.u.

Lattice parameters (Å, degrees): 7.338 7.338 2.725 90.00 90.00 90.00
Space group P4/mbm (No. 127)
One atom of each set of equivalent atoms:
Cd (0.000, 0.000, 0.000) x2
Co (0.164, 0.336, 0.500) x4
Rh (0.130, 0.630, 0.000) x4

## CaPmHo4Se8 (PBE-GGA)

Data for an optimized crystal structure of CaPmHo4Se8.

Summary:
The formation energy without anion corrections is -1792 meV per atom.

Lattice parameters (Å, degrees): 8.4386 8.4386 20.8713 90.00 90.00 120.00
Space group R3m (No. 160, hexagonal axes)
One atom of each set of equivalent atoms:
Ca (0.0000, 0.0000, 0.0000) x3
Pm (0.0000, 0.0000, 0.3719) x3
Ho (0.0000, 0.0000, 0.7482) x3
Ho (0.0055, 0.5028, 0.8746) x9
Se (0.0000, 0.0000, 0.1344) x3
Se (0.0000, 0.0000, 0.6157) x3
Se (0.0154, 0.5077, 0.1289) x9
Se (0.1776, 0.3553, 0.9511) x9

## Sm6GaCl8 (PBE-GGA)

Data for an optimized crystal structure of Sm6GaCl8.

Summary:
The formation energy without anion corrections is -1657 meV per atom.

Lattice parameters (Å, degrees): 6.9897 6.9897 30.5155 90.00 90.00 120.00
Space group R-3 (No. 148, hexagonal axes)
One atom of each set of equivalent atoms:
Sm (0.0000, 0.3242, 0.4463) x18
Ga (0.0000, 0.0000, 0.5000) x3
Cl (0.0000, 0.0000, 0.1667) x6
Cl (0.0001, 0.3322, 0.6081) x18

## SrSm2TcN4 (PBE-GGA)

Data for an optimized crystal structure of SrSm2TcN4.

Summary:
The formation energy without anion corrections is -890 meV per atom.

Lattice parameters (Å, degrees): 3.509 12.332 12.293 90.00 90.00 90.00
Space group Cmcm (No. 63)
One atom of each set of equivalent atoms:
Sr (0.000, 0.068, 0.250) x4
Sm (0.000, 0.371, 0.042) x8
Tc (0.000, 0.188, 0.750) x4
N (0.000, 0.000, 0.000) x4
N (0.000, 0.261, 0.618) x8
N (0.000, 0.404, 0.250) x4

## NiBrCl2 (PBE-GGA)

Data for an optimized crystal structure of NiBrCl2.

Summary:
The formation energy without anion corrections is -279 meV per atom. The value obtained for the excess energy over the best structure of this formula in the dataset is 0.432 eV/f.u.

Lattice parameters (Å, degrees): 12.515 3.020 7.857 90.00 126.64 90.00
Space group C2/m (No. 12)
One atom of each set of equivalent atoms:
Ni (0.000, 0.000, 0.000) x2
Br (0.000, 0.500, 0.500) x2
Cl (0.152, 0.500, 0.146) x4

## TbEu2H (PBE-GGA)

Data for an optimized crystal structure of TbEu2H.

Summary:
The value obtained for the excess energy over the best structure of this formula in the dataset is 0.000 eV/f.u.

Lattice parameters (Å, degrees): 3.6971 3.6971 27.5650 90.00 90.00 120.00
Space group R-3m (No. 166, hexagonal axes)
One atom of each set of equivalent atoms:
Tb (0.0000, 0.0000, 0.0000) x3
Eu (0.0000, 0.0000, 0.2212) x6
H (0.0000, 0.0000, 0.5000) x3